Entry P
The following is a PBE-GGA calculation of a geometry-optimized PmNpSe2 structure, from Alexandria.

Its density of states at the Fermi level is 2.312 states/eV/atom. The value obtained for the volume is 25.23 A^3/atom. Its density is 8.9 g/cm3.

Unit cell a=4.1500 b=4.1500 c=20.2951 alpha=90.00 beta=90.00 gamma=120.00
Closest atoms and distances in Å follow each position.
Space group R-3m (No. 166, hexagonal axes)
Symmetry-distinct sites (fractional):
Pm1 0.0000 0.0000 0.0000 [3 per cell]  6 Se 2.96
Np1 0.0000 0.0000 0.5000 [3 per cell]  6 Se 2.90
Se1 0.0000 0.0000 0.2473 [6 per cell]  3 Np 2.90, 3 Pm 2.96

=====

Entry Q
The following is a PBE-GGA calculation of a geometry-optimized PmNpSe2 structure, from Alexandria.

Its density of states at the Fermi level is 2.557 states/eV/atom. The value obtained for the volume is 25.59 A^3/atom. Its density is 8.8 g/cm3.

Unit cell a=3.9830 b=3.9830 c=22.3472 alpha=90.00 beta=90.00 gamma=120.00
Closest atoms and distances in Å follow each position.
Space group R3m (No. 160, hexagonal axes)
Symmetry-distinct sites (fractional):
Pm1 0.0000 0.0000 0.0000 [3 per cell]  6 Se 2.92-3.00
Np1 0.0000 0.0000 0.8266 [3 per cell]  6 Se 2.90-3.01
Se1 0.0000 0.0000 0.4139 [3 per cell]  3 Np 2.90, 3 Pm 2.92
Se2 0.0000 0.0000 0.5803 [3 per cell]  3 Pm 3.00, 3 Np 3.01

=====

Ordering by calculated energy gives the sequence entry P, entry Q, with the first entry being the most stable.

=====

Entry P
The following is a PBE-GGA calculation of a geometry-optimized PmNpTc2 structure, from Alexandria.

Its density of states at the Fermi level is 1.257 states/eV/atom. The value obtained for the volume is 20.20 A^3/atom. Its density is 11.9 g/cm3.

Unit cell a=3.3346 b=3.3346 c=7.2672 alpha=90.00 beta=90.00 gamma=90.00
Closest atoms and distances in Å follow each position.
Space group P4/mmm (No. 123)
Symmetry-distinct sites (fractional):
Pm1 0.0000 0.0000 0.0000 [1 per cell]  8 Tc 3.23, 4 Pm 3.33
Np1 0.0000 0.0000 0.5000 [1 per cell]  8 Tc 2.76
Tc1 0.5000 0.5000 0.3034 [2 per cell]  4 Np 2.76, 1 Tc 2.86

=====

Entry Q
The following is a PBE-GGA calculation of a geometry-optimized PmNpTc2 structure, from Alexandria.

Its density of states at the Fermi level is 2.438 states/eV/atom. The value obtained for the volume is 20.07 A^3/atom. Its density is 12.0 g/cm3.

Unit cell a=6.8474 b=6.8474 c=6.8474 alpha=90.00 beta=90.00 gamma=90.00
Closest atoms and distances in Å follow each position.
Space group Fm-3m (No. 225)
Symmetry-distinct sites (fractional):
Pm1 0.0000 0.0000 0.0000 [4 per cell]  8 Tc 2.97
Np1 0.0000 0.0000 0.5000 [4 per cell]  8 Tc 2.97
Tc1 0.2500 0.2500 0.2500 [8 per cell]  4 Pm 2.97, 4 Np 2.97

=====

Ordering by calculated energy gives the sequence entry P, entry Q, with the first entry being the most stable.

=====

Entry P
The following is a PBE-GGA calculation of a geometry-optimized PrNpPt2 structure, from Alexandria.

Its density of states at the Fermi level is 2.694 states/eV/atom. The value obtained for the volume is 25.15 A^3/atom. Its density is 12.7 g/cm3.

Unit cell a=4.1857 b=4.1857 c=19.8872 alpha=90.00 beta=90.00 gamma=120.00
Closest atoms and distances in Å follow each position.
Space group R-3m (No. 166, hexagonal axes)
Symmetry-distinct sites (fractional):
Pr1 0.0000 0.0000 0.0000 [3 per cell]  6 Pt 3.03
Np1 0.0000 0.0000 0.5000 [3 per cell]  6 Pt 2.83
Pt1 0.0000 0.0000 0.2411 [6 per cell]  3 Np 2.83, 3 Pr 3.03

=====

Entry Q
The following is a PBE-GGA calculation of a geometry-optimized PrNpPt2 structure, from Alexandria.

Its density of states at the Fermi level is 2.690 states/eV/atom. The value obtained for the volume is 22.72 A^3/atom. Its density is 14.0 g/cm3.

Unit cell a=3.5516 b=3.5516 c=7.2062 alpha=90.00 beta=90.00 gamma=90.00
Closest atoms and distances in Å follow each position.
Space group P4/mmm (No. 123)
Symmetry-distinct sites (fractional):
Pr1 0.0000 0.0000 0.0000 [1 per cell]  8 Pt 3.19, 4 Pr 3.55
Np1 0.0000 0.0000 0.5000 [1 per cell]  8 Pt 2.99
Pt1 0.5000 0.5000 0.2739 [2 per cell]  4 Np 2.99, 4 Pr 3.19, 1 Pt 3.26

=====

Ordering by calculated energy gives the sequence entry P, entry Q, with the first entry being the most stable.

=====

Entry P
The following is a PBE-GGA calculation of a geometry-optimized PrNpRh2 structure, from Alexandria.

Its density of states at the Fermi level is 1.852 states/eV/atom. The value obtained for the volume is 21.18 A^3/atom. Its density is 11.4 g/cm3.

Unit cell a=6.9719 b=6.9719 c=6.9719 alpha=90.00 beta=90.00 gamma=90.00
Closest atoms and distances in Å follow each position.
Space group Fm-3m (No. 225)
Symmetry-distinct sites (fractional):
Pr1 0.0000 0.0000 0.0000 [4 per cell]  8 Rh 3.02
Np1 0.0000 0.0000 0.5000 [4 per cell]  8 Rh 3.02
Rh1 0.2500 0.2500 0.2500 [8 per cell]  4 Pr 3.02, 4 Np 3.02

=====

Entry Q
The following is a PBE-GGA calculation of a geometry-optimized PrNpRh2 structure, from Alexandria.

Its density of states at the Fermi level is 1.450 states/eV/atom. The value obtained for the volume is 22.69 A^3/atom. Its density is 10.7 g/cm3.

Unit cell a=4.4603 b=4.4603 c=15.8044 alpha=90.00 beta=90.00 gamma=120.00
Closest atoms and distances in Å follow each position.
Space group R-3m (No. 166, hexagonal axes)
Symmetry-distinct sites (fractional):
Pr1 0.0000 0.0000 0.0000 [3 per cell]  8 Rh 3.19-3.39
Np1 0.0000 0.0000 0.5000 [3 per cell]  6 Rh 2.68
Rh1 0.0000 0.0000 0.2145 [6 per cell]  3 Np 2.68, 3 Rh 2.99

=====

Ordering by calculated energy gives the sequence entry Q, entry P, with the first entry being the most stable.